--- 1 ---
Computed, not measured: a relaxed structure of LiI2NF at the PBE level of DFT.

Cell: 5.121 5.121 3.655 Å, 90.00 90.00 90.00°
Fractional coordinates of all 5 atoms:
1 Li 0.000 0.000 0.000
2 I 0.000 0.500 0.000
3 I 0.500 0.000 0.000
4 N 0.000 0.000 0.500
5 F 0.500 0.500 0.500

Output
D(E_F) = 1.23 states/eV per atom
Space-group type = No. 123
Size of the total moment = 0.002 μB/cell

---

--- 2 ---
Computed, not measured: a relaxed structure of LiI2NF at the PBE level of DFT.

Cell: 5.447 5.447 4.253 Å, 90.00 90.00 90.00°
Fractional coordinates of all 5 atoms:
1 Li 0.000 0.000 0.000
2 I 0.000 0.500 0.500
3 I 0.500 0.000 0.500
4 N 0.500 0.500 0.000
5 F 0.500 0.500 0.500

Output
D(E_F) = 0.51 states/eV per atom
Space-group type = No. 123
Size of the total moment = 1.729 μB/cell

---

Short version: 1 is the least stable of them.